# Mn2NiIr

Mn2NiIr at its PBEsol-relaxed geometry (meta-GGA SCAN, the Alexandria database).

Properties
Uncorrected energy, eV/atom: -31.214
Calculated volume, Å³ per atom: 11.50
Density of states at the Fermi level, states/eV per cell: 2.83

Lattice parameters (Å, degrees): 2.5877 4.0275 4.4132 90.00 90.00 90.00
With the nearest neighbours (Å) after each atom.
Space group Pmm2 (No. 25)
Symmetry-distinct sites (fractional):
Mn  0.0000  0.0000  0.0000  4 Mn 2.47-2.59, 4 Ni 2.49, 4 Ir 2.55-2.57
Mn  0.0000  0.5000  0.3234  4 Mn 2.47-2.59, 4 Ni 2.48-2.64, 4 Ir 2.52
Ni  0.5000  0.5000  0.8441  8 Mn 2.48-2.64, 2 Ir 2.52, 2 Ni 2.59
Ir  0.5000  0.0000  0.5023  2 Ni 2.52, 8 Mn 2.52-2.57, 2 Ir 2.59

***

# MnNi2Ir

MnNi2Ir at its PBEsol-relaxed geometry (meta-GGA SCAN, the Alexandria database).

Properties
Uncorrected energy, eV/atom: -30.638
Calculated volume, Å³ per atom: 11.51
Density of states at the Fermi level, states/eV per cell: 5.33

Lattice parameters (Å, degrees): 3.5886 3.5886 7.1489 90.00 90.00 90.00
With the nearest neighbours (Å) after each atom.
Space group I-4m2 (No. 119)
Symmetry-distinct sites (fractional):
Mn  0.0000  0.0000  0.0000  8 Ni 2.53-2.54, 4 Ir 2.53
Ni  0.0000  0.0000  0.5000  4 Ni 2.53, 4 Ir 2.53, 4 Mn 2.54
Ni  0.0000  0.5000  0.2500  4 Mn 2.53, 4 Ni 2.53, 4 Ir 2.54
Ir  0.0000  0.5000  0.7500  4 Mn 2.53, 8 Ni 2.53-2.54

***

# MnNi6Ir

MnNi6Ir at its PBEsol-relaxed geometry (meta-GGA SCAN, the Alexandria database).

Properties
Uncorrected energy, eV/atom: -23.418
Calculated volume, Å³ per atom: 11.11
Density of states at the Fermi level, states/eV per cell: 58.31

Lattice parameters (Å, degrees): 7.0812 10.0238 10.0164 90.00 90.00 90.00
With the nearest neighbours (Å) after each atom.
Space group Cmmm (No. 65)
Symmetry-distinct sites (fractional):
Mn  0.0000  0.0000  0.2472  12 Ni 2.48-2.53
Mn  0.0000  0.2489  0.0000  12 Ni 2.48-2.52
Ni  0.0000  0.0000  0.0000  4 Mn 2.48-2.49, 8 Ni 2.49
Ni  0.0000  0.0000  0.5000  2 Ir 2.48, 8 Ni 2.51, 2 Mn 2.53
Ni  0.0000  0.2497  0.2483  2 Mn 2.49-2.50, 8 Ni 2.49-2.51, 2 Ir 2.51-2.52
Ni  0.0000  0.5000  0.0000  2 Ir 2.49, 8 Ni 2.51, 2 Mn 2.52
Ni  0.0000  0.5000  0.5000  4 Ir 2.52-2.53, 8 Ni 2.52
Ni  0.2487  0.1247  0.3726  8 Ni 2.49-2.55, 3 Ir 2.50-2.54, 1 Mn 2.50
Ni  0.2488  0.1256  0.1235  8 Ni 2.47-2.52, 3 Mn 2.48-2.51, 1 Ir 2.51
Ir  0.0000  0.2473  0.5000  12 Ni 2.48-2.54
Ir  0.0000  0.5000  0.2487  12 Ni 2.49-2.52

***

# MnNiIr

MnNiIr at its PBEsol-relaxed geometry (meta-GGA SCAN, the Alexandria database).

Properties
Offset from the most stable computed form, meV per atom: 53
Calculated volume, Å³ per atom: 11.86
Density of states at the Fermi level, states/eV per cell: 5.37

Lattice parameters (Å, degrees): 2.6083 2.6083 10.4617 90.00 90.00 90.00
With the nearest neighbours (Å) after each atom.
Space group I4mm (No. 107)
Symmetry-distinct sites (fractional):
Mn  0.0000  0.0000  0.0000  4 Ni 2.49, 4 Ir 2.51, 4 Mn 2.61
Ni  0.0000  0.0000  0.6592  4 Mn 2.49, 4 Ni 2.61, 4 Ir 2.62
Ir  0.0000  0.0000  0.3368  4 Mn 2.51, 4 Ir 2.61, 4 Ni 2.62

***

# MnNi2Ir

MnNi2Ir at its PBEsol-relaxed geometry (meta-GGA SCAN, the Alexandria database).

Properties
Uncorrected energy, eV/atom: -30.621
Calculated volume, Å³ per atom: 11.65
Density of states at the Fermi level, states/eV per cell: 6.74

Lattice parameters (Å, degrees): 3.5918 3.5918 7.2255 90.00 90.00 90.00
With the nearest neighbours (Å) after each atom.
Space group I4/mmm (No. 139)
Symmetry-distinct sites (fractional):
Mn  0.0000  0.0000  0.0000  4 Ir 2.54, 8 Ni 2.55
Ni  0.0000  0.5000  0.2500  4 Ni 2.54, 4 Mn 2.55, 4 Ir 2.55
Ir  0.0000  0.0000  0.5000  4 Mn 2.54, 8 Ni 2.55

***

# MnNiIr

MnNiIr at its PBEsol-relaxed geometry (meta-GGA SCAN, the Alexandria database).

Properties
Offset from the most stable computed form, meV per atom: 0
Calculated volume, Å³ per atom: 11.73
Density of states at the Fermi level, states/eV per cell: 5.06

Lattice parameters (Å, degrees): 2.6045 3.5515 7.6095 90.00 90.00 90.00
With the nearest neighbours (Å) after each atom.
Space group Imm2 (No. 44)
Symmetry-distinct sites (fractional):
Mn  0.0000  0.0000  0.0000  5 Ir 2.53-2.55, 5 Ni 2.54-2.55, 2 Mn 2.60
Ni  0.0000  0.0000  0.6653  5 Ir 2.51-2.56, 5 Mn 2.54-2.55, 2 Ni 2.60
Ir  0.0000  0.0000  0.3357  5 Ni 2.51-2.56, 5 Mn 2.53-2.55, 2 Ir 2.60

***

Which value of density of states at the Fermi level does entry 1 give? 2.83 states/eV per cell